1.
## MgAlTe2N (GGA-PBE)

Data for a relaxed MgAlTe2N crystal.

Lattice parameters (Å, degrees): 5.7016 5.7016 3.8711 90.00 90.00 90.00
Atoms (fractional coordinates):
1 Mg 0.0000 0.0000 0.0000
2 Al 0.5000 0.5000 0.5000
3 Te 0.0000 0.5000 0.0000
4 Te 0.5000 0.0000 0.0000
5 N 0.0000 0.0000 0.5000

uncorrected energy: -3.3348 eV per atom
space group: P4/mmm (123)
crystal system: tetragonal
E above lowest polymorph: 0.623 eV/atom
uncorrected formation energy: 0.654 eV per atom

***

2.
## AcTb3Pm7 (GGA-PBE)

Data for a relaxed AcTb3Pm7 crystal.

Lattice parameters (Å, degrees): 7.2624 7.2624 8.7619 90.00 90.00 120.00
Atoms (fractional coordinates):
1 Ac 0.0000 0.0000 0.0000
2 Tb 0.1683 0.3366 0.3426
3 Tb 0.1683 0.8317 0.3426
4 Tb 0.6634 0.8317 0.3426
5 Pm 0.0014 0.5007 0.0107
6 Pm 0.3333 0.6667 0.6781
7 Pm 0.3341 0.1670 0.6649
8 Pm 0.4993 0.5007 0.0107
9 Pm 0.4993 0.9986 0.0107
10 Pm 0.8330 0.1670 0.6649
11 Pm 0.8330 0.6659 0.6649

uncorrected energy: -4.4609 eV per atom
space group: P3m1 (156)
crystal system: trigonal
ΔH_f (0 K): 0.1985 eV/atom

***

3.
## BaCdIn2Au4 (GGA-PBE)

Data for a relaxed BaCdIn2Au4 crystal.

Lattice parameters (Å, degrees): 10.4383 10.4383 10.4383 26.22 26.22 26.22
Atoms (fractional coordinates):
1 Ba 0.0000 0.0000 0.0000
2 Cd 0.5000 0.5000 0.5000
3 In 0.2397 0.2397 0.2397
4 In 0.7603 0.7603 0.7603
5 Au 0.1354 0.1354 0.1354
6 Au 0.4012 0.4012 0.4012
7 Au 0.5988 0.5988 0.5988
8 Au 0.8646 0.8646 0.8646

uncorrected energy: -3.0396 eV per atom
space group: R-3m (166)
crystal system: trigonal
ΔH_f (0 K): -0.3615 eV/atom

***

4.
## MoRhBr2 (GGA-PBE)

Data for a relaxed MoRhBr2 crystal.

Lattice parameters (Å, degrees): 5.9810 5.9810 5.9810 142.72 142.72 53.75
Atoms (fractional coordinates):
1 Mo 0.0000 0.0000 0.0000
2 Rh 0.2500 0.7500 0.5000
3 Br 0.5000 0.5000 0.0000
4 Br 0.7500 0.2500 0.5000

uncorrected energy: -4.5115 eV per atom
space group: I-4m2 (119)
crystal system: tetragonal
E above lowest polymorph: 0.877 eV/atom
uncorrected formation energy: 0.871 eV per atom

***

5.
## CsLa2Br7 (GGA-PBE)

Data for a relaxed CsLa2Br7 crystal.

Lattice parameters (Å, degrees): 14.7668 7.7197 14.0453 90.00 90.00 90.00
Atoms (fractional coordinates):
1 Cs 0.0412 0.2500 0.1951
2 Cs 0.4588 0.7500 0.6951
3 Cs 0.5412 0.2500 0.3049
4 Cs 0.9588 0.7500 0.8049
5 La 0.2372 0.2500 0.5399
6 La 0.2473 0.2500 0.8430
7 La 0.2527 0.7500 0.3430
8 La 0.2628 0.7500 0.0399
9 La 0.7372 0.2500 0.9601
10 La 0.7473 0.2500 0.6570
11 La 0.7527 0.7500 0.1570
12 La 0.7628 0.7500 0.4601
13 Br 0.1093 0.7500 0.1884
14 Br 0.1215 0.0096 0.4219
15 Br 0.1215 0.4904 0.4219
16 Br 0.1299 0.0090 0.9607
17 Br 0.1299 0.4910 0.9607
18 Br 0.1745 0.0062 0.6932
19 Br 0.1745 0.4938 0.6932
20 Br 0.3255 0.5062 0.1932
21 Br 0.3255 0.9938 0.1932
22 Br 0.3701 0.5090 0.4607
23 Br 0.3701 0.9910 0.4607
24 Br 0.3785 0.5096 0.9219
25 Br 0.3785 0.9904 0.9219
26 Br 0.3907 0.2500 0.6884
27 Br 0.6093 0.7500 0.3116
28 Br 0.6215 0.0096 0.0781
29 Br 0.6215 0.4904 0.0781
30 Br 0.6299 0.0090 0.5393
31 Br 0.6299 0.4910 0.5393
32 Br 0.6745 0.0062 0.8068
33 Br 0.6745 0.4938 0.8068
34 Br 0.8255 0.5062 0.3068
35 Br 0.8255 0.9938 0.3068
36 Br 0.8701 0.5090 0.0393
37 Br 0.8701 0.9910 0.0393
38 Br 0.8785 0.5096 0.5781
39 Br 0.8785 0.9904 0.5781
40 Br 0.8907 0.2500 0.8116

uncorrected energy: -4.2434 eV per atom
space group: Pnma (62)
crystal system: orthorhombic
E above lowest polymorph: 0.000 eV/atom
uncorrected formation energy: -2.002 eV per atom